1.
Material: Sr2La2MgRuO8
Method: DFT, GGA-PBEsol
State: relaxed

The structure belongs to space group P4/mmm (No. 123); the cell edges are 3.838, 3.838 and 12.585 Å and the angles 90.00°, 90.00° and 90.00°. The asymmetric unit holds Sr at (0.000, 0.000, 0.145), La at (0.500, 0.500, 0.363), Mg at (0.000, 0.000, 0.500), Ru at (0.500, 0.500, 0.000), O at (0.000, 0.000, 0.330), O at (0.000, 0.500, 0.000), O at (0.000, 0.500, 0.500) and O at (0.500, 0.500, 0.166).

For the total energy, the calculation gives -105.386 eV for the cell shown. For the size of the total moment, the calculation gives 0.0007 μB/atom.

---

2.
Material: La2MgSnO6
Method: DFT, GGA-PBEsol
State: relaxed

The structure belongs to space group R-3 (No. 148, hexagonal axes); the cell edges are 5.7007, 5.7007 and 13.6229 Å and the angles 90.00°, 90.00° and 120.00°. The asymmetric unit holds La at (0.0000, 0.0000, 0.2503), Mg at (0.0000, 0.0000, 0.0000), Sn at (0.0000, 0.0000, 0.5000) and O at (0.0022, 0.5875, 0.2508).

For the total energy, the calculation gives -229.440 eV for the cell shown. For the size of the total moment, the calculation gives 0.0000 μB/atom.

---

3.
Material: La2MgTiO6
Method: DFT, GGA-PBEsol
State: relaxed

The structure belongs to space group P2_1/c (No. 14); the cell edges are 5.531, 5.575 and 9.576 Å and the angles 90.00°, 125.17° and 90.00°. The asymmetric unit holds La at (0.243, 0.037, 0.251), Mg at (0.500, 0.000, 0.000), Ti at (0.000, 0.000, 0.500), O at (0.160, 0.218, 0.956), O at (0.238, 0.705, 0.958) and O at (0.324, 0.020, 0.743).

For the total energy, the calculation gives -170.765 eV for the cell shown. For the size of the total moment, the calculation gives 0.0000 μB/atom.

---

4.
Material: La2MgTiO6
Method: DFT, GGA-PBEsol
State: relaxed

The structure belongs to space group R-3 (No. 148, hexagonal axes); the cell edges are 5.5760, 5.5760 and 13.3468 Å and the angles 90.00°, 90.00° and 120.00°. The asymmetric unit holds La at (0.0000, 0.0000, 0.2500), Mg at (0.0000, 0.0000, 0.0000), Ti at (0.0000, 0.0000, 0.5000) and O at (0.0103, 0.4314, 0.2490).

For the total energy, the calculation gives -255.848 eV for the cell shown. For the size of the total moment, the calculation gives 0.0000 μB/atom.

---

5.
Material: La2MgVO6
Method: DFT, GGA-PBEsol
State: relaxed

The structure belongs to space group R-3 (No. 148, hexagonal axes); the cell edges are 5.5349, 5.5349 and 13.2196 Å and the angles 90.00°, 90.00° and 120.00°. The asymmetric unit holds La at (0.0000, 0.0000, 0.2492), Mg at (0.0000, 0.0000, 0.5000), V at (0.0000, 0.0000, 0.0000) and O at (0.0117, 0.5731, 0.7483).

For the total energy, the calculation gives -253.198 eV for the cell shown. For the size of the total moment, the calculation gives 0.1000 μB/atom.

---

6.
Material: La3MgOs
Method: DFT, GGA-PBEsol
State: relaxed

The structure belongs to space group Pm-3m (No. 221); the cell edges are 5.545, 5.545 and 5.545 Å and the angles 90.00°, 90.00° and 90.00°. The asymmetric unit holds La at (0.000, 0.000, 0.500), Mg at (0.500, 0.500, 0.500) and Os at (0.000, 0.000, 0.000).

For the total energy, the calculation gives -29.986 eV for the cell shown. The value obtained for the offset from the most stable computed form is 75 meV/atom. The formation energy from the elements is 0.00 eV per atom. For the size of the total moment, the calculation gives 0.0001 μB/atom.

---

7.
Material: La3MgOs
Method: DFT, GGA-PBEsol
State: relaxed

The structure belongs to space group Cm (No. 8); the cell edges are 9.402, 9.916 and 6.320 Å and the angles 90.00°, 108.41° and 90.00°. The asymmetric unit holds La at (0.000, 0.000, 0.000), La at (0.011, 0.215, 0.510), La at (0.178, 0.308, 0.086), La at (0.324, 0.000, 0.605), Mg at (0.213, 0.500, 0.580), Mg at (0.385, 0.000, 0.118) and Os at (0.346, 0.251, 0.811).

For the total energy, the calculation gives -121.442 eV for the cell shown. The value obtained for the offset from the most stable computed form is 0 meV/atom. The formation energy from the elements is -0.08 eV per atom. For the size of the total moment, the calculation gives 0.0001 μB/atom.

---

8.
Material: La2MgOs
Method: DFT, GGA-PBEsol
State: relaxed

The structure belongs to space group P4/mmm (No. 123); the cell edges are 3.420, 3.420 and 9.122 Å and the angles 90.00°, 90.00° and 90.00°. The asymmetric unit holds La at (0.000, 0.000, 0.194), Mg at (0.500, 0.500, 0.500) and Os at (0.500, 0.500, 0.000).

For the total energy, the calculation gives -24.727 eV for the cell shown. The formation energy from the elements is -0.03 eV per atom. For the size of the total moment, the calculation gives 0.0001 μB/atom.

---

9.
Material: LaMg4Os
Method: DFT, GGA-PBEsol
State: relaxed

The structure belongs to space group F-43m (No. 216); the cell edges are 7.891, 7.891 and 7.891 Å and the angles 90.00°, 90.00° and 90.00°. The asymmetric unit holds La at (0.000, 0.000, 0.000), Mg at (0.123, 0.123, 0.623) and Os at (0.250, 0.250, 0.250).

For the total energy, the calculation gives -90.366 eV for the cell shown. The formation energy from the elements is 0.31 eV per atom. For the size of the total moment, the calculation gives 0.0001 μB/atom.

---

10.
Material: La2MgP
Method: DFT, GGA-PBEsol
State: relaxed

The structure belongs to space group P6_3/mmc (No. 194); the cell edges are 4.0172, 4.0172 and 17.7553 Å and the angles 90.00°, 90.00° and 120.00°. The asymmetric unit holds La at (0.3333, 0.6667, 0.0952), Mg at (0.3333, 0.6667, 0.7500) and P at (0.0000, 0.0000, 0.0000).

For the total energy, the calculation gives -41.821 eV for the cell shown. The value obtained for the offset from the most stable computed form is 2 meV/atom. The formation energy from the elements is -0.68 eV per atom. For the size of the total moment, the calculation gives 0.0005 μB/atom.

---

11.
Material: LaMgP
Method: DFT, GGA-PBEsol
State: relaxed

The structure belongs to space group Fmm2 (No. 42); the cell edges are 4.487, 5.445 and 11.906 Å and the angles 90.00°, 90.00° and 90.00°. The asymmetric unit holds La at (0.000, 0.000, 0.000), Mg at (0.000, 0.000, 0.271) and P at (0.000, 0.000, 0.645).

For the total energy, the calculation gives -58.380 eV for the cell shown. The formation energy from the elements is -0.58 eV per atom. For the size of the total moment, the calculation gives 0.0001 μB/atom.

---

12.
Material: LaMgP3
Method: DFT, GGA-PBEsol
State: relaxed

The structure belongs to space group Pm-3m (No. 221); the cell edges are 4.732, 4.732 and 4.732 Å and the angles 90.00°, 90.00° and 90.00°. The asymmetric unit holds La at (0.000, 0.000, 0.000), Mg at (0.500, 0.500, 0.500) and P at (0.000, 0.500, 0.500).

For the total energy, the calculation gives -25.132 eV for the cell shown. The formation energy from the elements is -0.14 eV per atom. For the size of the total moment, the calculation gives 0.0000 μB/atom.